Record 1
First-principles (GGA-PBE) data for a relaxed structure of BaIn2PbAu4, as listed in Alexandria.

Geometry as POSCAR:
```
BaIn2PbAu4
1.0
2.3684 1.3674 10.7153
-2.3684 1.3674 10.7153
0.0000 -2.7348 10.7153
Ba In Pb Au
1 2 1 4
direct
0.0000 0.0000 0.0000
0.2456 0.2456 0.2456
0.7544 0.7544 0.7544
0.5000 0.5000 0.5000
0.1168 0.1168 0.1168
0.3986 0.3986 0.3986
0.6014 0.6014 0.6014
0.8832 0.8832 0.8832
```

- energy of formation from the pure elements (eV per atom) = -0.334

Record 2
First-principles (GGA-PBE) data for a relaxed structure of La5Nd4In, as listed in Alexandria.

Geometry as POSCAR:
```
La5Nd4In
1.0
-5.2996 5.2996 3.1587
5.2996 -5.2996 3.1587
5.2996 5.2996 -3.1587
La Nd In
5 4 1
direct
0.0000 0.0000 0.0000
0.5556 0.5581 0.6207
0.5581 0.9374 0.0025
0.9349 0.5556 0.9975
0.9374 0.9349 0.3793
0.2490 0.5640 0.3124
0.2516 0.9366 0.6876
0.5640 0.2516 0.3150
0.9366 0.2490 0.6850
0.4851 0.4851 0.0000
```

- polymorph energy (0 for the lowest one) (eV/atom) = 0.112
- energy of formation from the pure elements (eV per atom) = 0.077

Record 3
First-principles (GGA-PBE) data for a relaxed structure of LiSc3Zn8, as listed in Alexandria.

Geometry as POSCAR:
```
LiSc3Zn8
1.0
2.6105 1.5072 8.5103
-2.6105 1.5072 8.5103
0.0000 -3.0144 8.5103
Li Sc Zn
1 3 8
direct
0.0000 0.0000 0.0000
0.1239 0.1239 0.1239
0.5029 0.5029 0.5029
0.6274 0.6274 0.6274
0.0626 0.5642 0.5642
0.0641 0.0641 0.5640
0.0641 0.5640 0.0641
0.3142 0.3142 0.3142
0.5642 0.0626 0.5642
0.5640 0.0641 0.0641
0.5642 0.5642 0.0626
0.8136 0.8136 0.8136
```

- energy of formation from the pure elements (eV per atom) = -0.294

Record 4
First-principles (GGA-PBE) data for a relaxed structure of Rb2NdRuO6, as listed in Alexandria.

Geometry as POSCAR:
```
Rb2NdRuO6
1.0
0.0000 4.2849 4.2849
4.2849 0.0000 4.2849
4.2849 4.2849 0.0000
Rb Nd Ru O
2 1 1 6
direct
0.2500 0.2500 0.2500
0.7500 0.7500 0.7500
0.0000 0.0000 0.0000
0.5000 0.5000 0.5000
0.2764 0.2764 0.7236
0.2764 0.7236 0.2764
0.2764 0.7236 0.7236
0.7236 0.2764 0.2764
0.7236 0.2764 0.7236
0.7236 0.7236 0.2764
```

- formation energy (no corrections) (kJ/mol of atoms) = -160.8

Record 5
First-principles (GGA-PBE) data for a relaxed structure of Si2HgW, as listed in Alexandria.

Geometry as POSCAR:
```
Si2HgW
1.0
6.7865 0.0000 0.0000
0.0000 7.0365 0.0000
0.0000 0.0000 2.7686
Si Hg W
4 2 2
direct
0.2500 0.2500 0.0000
0.2500 0.7500 0.0000
0.7500 0.2500 0.0000
0.7500 0.7500 0.0000
0.0000 0.0000 0.5000
0.5000 0.5000 0.5000
0.0000 0.5000 0.5000
0.5000 0.0000 0.5000
```

- formation energy (no corrections) (kJ/mol of atoms) = 60.7

Record 6
First-principles (GGA-PBE) data for a relaxed structure of EuZn2Cd, as listed in Alexandria.

Geometry as POSCAR:
```
EuZn2Cd
1.0
4.6246 0.0000 0.0000
0.0000 4.6246 0.0000
0.0000 0.0000 4.3882
Eu Zn Cd
1 2 1
direct
0.0000 0.0000 0.0000
0.0000 0.5000 0.5000
0.5000 0.0000 0.5000
0.5000 0.5000 0.0000
```

- polymorph energy (0 for the lowest one) (eV/atom) = 0.117
- energy of formation from the pure elements (eV per atom) = -0.123